Record 1
GdPuOs: optimized geometry, PBE-GGA.

Cell and atoms, written as POSCAR:
```
GdPuOs
1.0
3.297 0.000 0.000
0.000 4.782 0.000
0.000 -2.391 4.141
Pu Gd Os
1 1 1
direct
0.063 0.000 0.000 Pu
0.658 0.333 0.667 Gd
0.279 0.667 0.333 Os
```

Summary:
Formation energy = 0.102 eV/atom
Symmetry = P3m1

Record 2
Li4BN2: optimized geometry, PBE-GGA.

Cell and atoms, written as POSCAR:
```
Li4BN2
1.0
0.784 -3.350 1.371
0.368 -2.894 -2.281
5.817 -1.008 -0.788
Li N B
4 2 1
direct
0.601 0.601 0.198 Li
0.797 0.797 0.609 Li
0.399 0.399 0.802 Li
0.203 0.203 0.391 Li
0.083 0.083 0.750 N
0.917 0.917 0.250 N
0.000 0.000 0.000 B
```

Summary:
Symmetry = R-3m

Record 3
Mn2CuIr: optimized geometry, PBE-GGA.

Cell and atoms, written as POSCAR:
```
Mn2CuIr
1.0
2.809 0.000 0.000
0.000 3.574 0.000
0.000 0.000 5.297
Mn Cu Ir
2 1 1
direct
0.000 0.000 0.998 Mn
0.500 0.500 0.256 Mn
0.000 0.000 0.494 Cu
0.500 0.500 0.751 Ir
```

Summary:
Formation energy = -0.033 eV/atom
Symmetry = Pmm2

Record 4
TcAgGe2: optimized geometry, PBE-GGA.

Cell and atoms, written as POSCAR:
```
TcAgGe2
1.0
3.214 0.000 0.000
0.000 3.214 0.000
0.000 0.000 6.297
Ge Ag Tc
2 1 1
direct
0.000 0.000 0.220 Ge
0.000 0.000 0.780 Ge
0.500 0.500 0.500 Ag
0.500 0.500 0.000 Tc
```

Summary:
Formation energy = 0.107 eV/atom
Symmetry = P4/mmm

Record 5
PrGdZnCd: optimized geometry, PBE-GGA.

Cell and atoms, written as POSCAR:
```
PrGdZnCd
1.0
-0.374 -4.100 3.347
3.979 -1.066 3.345
-0.602 0.866 5.200
Gd Pr Zn Cd
1 1 1 1
direct
0.000 0.000 0.000 Gd
0.500 0.500 0.500 Pr
0.250 0.250 0.250 Zn
0.750 0.750 0.750 Cd
```

Summary:
Formation energy = -0.314 eV/atom
Symmetry = F-43m

Record 6
RbAl2TeO6: optimized geometry, PBE-GGA.

Cell and atoms, written as POSCAR:
```
RbAl2TeO6
1.0
-3.006 -2.838 -4.393
-5.200 -3.889 3.829
-5.058 5.171 -2.121
O Al Te Rb
12 4 2 2
direct
0.793 0.946 0.299 O
0.412 0.765 0.407 O
0.396 0.244 0.282 O
0.588 0.235 0.593 O
0.604 0.756 0.718 O
0.104 0.718 0.756 O
0.912 0.407 0.765 O
0.896 0.282 0.244 O
0.088 0.593 0.235 O
0.293 0.299 0.946 O
0.207 0.054 0.701 O
0.707 0.701 0.054 O
0.163 0.349 0.189 Al
0.837 0.651 0.811 Al
0.337 0.811 0.651 Al
0.663 0.189 0.349 Al
0.250 0.295 0.705 Te
0.750 0.705 0.295 Te
0.250 0.897 0.103 Rb
0.750 0.103 0.897 Rb
```

Summary:
Symmetry = C2/c

These records have calculated total energy values of -39.34; -34.89; -31.43; -22.03; -22.30; -122.73 eV per cell, in the order they appear.